Material: ZrGaFe2O6
Method: DFT, PBE+U
State: relaxed

POSCAR file:
```
ZrGaFe2O6
1.0
2.6401 1.5243 4.6718
-2.6401 1.5243 4.6718
0.0000 -3.0486 4.6718
Zr Ga Fe O
1 1 2 6
direct
0.0000 0.0000 0.0000
0.4995 0.4995 0.4995
0.2100 0.2100 0.2100
0.7095 0.7095 0.7095
0.1091 0.4198 0.7789
0.3069 0.8865 0.6129
0.4198 0.7789 0.1091
0.6129 0.3069 0.8865
0.7789 0.1091 0.4198
0.8865 0.6129 0.3069
```

Calculated values
spin magnetization = 9.000 μB/f.u.
SG = R3, No. 146
electronic total energy = -7.306 eV/atom
N(E_F) = 0.0 states/eV/cell